*A*
The following is a DFT calculation (PBE) of a relaxed structure of CaY2Pd.

Results
size of the total moment = 0.0 Bohr magnetons per cell

Structure (CIF):
```
data_CaY2Pd
_symmetry_space_group_name_H-M 'F m -3 m'
_symmetry_Int_Tables_number 225
_symmetry_space_group_name_Hall '-F 4 2 3'
_cell_length_a 7.508
_cell_length_b 7.508
_cell_length_c 7.508
_cell_angle_alpha 90.00
_cell_angle_beta 90.00
_cell_angle_gamma 90.00
loop_
_atom_site_label
_atom_site_type_symbol
_atom_site_fract_x
_atom_site_fract_y
_atom_site_fract_z
Ca1 Ca 0.000 0.000 0.000
Y1 Y 0.250 0.250 0.250
Pd1 Pd 0.000 0.000 0.500
```

*B*
The following is a DFT calculation (PBE) of a relaxed structure of CaY2Pd.

Results
size of the total moment = 0.0 Bohr magnetons per cell

Structure (CIF):
```
data_CaY2Pd
_symmetry_space_group_name_H-M 'R -3 m'
_symmetry_Int_Tables_number 166
_symmetry_space_group_name_Hall '-R 3 2"'
_cell_length_a 4.0324
_cell_length_b 4.0324
_cell_length_c 28.3584
_cell_angle_alpha 90.00
_cell_angle_beta 90.00
_cell_angle_gamma 120.00
loop_
_atom_site_label
_atom_site_type_symbol
_atom_site_fract_x
_atom_site_fract_y
_atom_site_fract_z
Ca1 Ca 0.0000 0.0000 0.0000
Y1 Y 0.0000 0.0000 0.2223
Pd1 Pd 0.0000 0.0000 0.5000
```

*C*
The following is a DFT calculation (PBE) of a relaxed structure of CaY2Pd.

Results
size of the total moment = 0.0 Bohr magnetons per cell

Structure (CIF):
```
data_CaY2Pd
_symmetry_space_group_name_H-M 'P 4/m m m'
_symmetry_Int_Tables_number 123
_symmetry_space_group_name_Hall '-P 4 2'
_cell_length_a 3.538
_cell_length_b 3.538
_cell_length_c 9.464
_cell_angle_alpha 90.00
_cell_angle_beta 90.00
_cell_angle_gamma 90.00
loop_
_atom_site_label
_atom_site_type_symbol
_atom_site_fract_x
_atom_site_fract_y
_atom_site_fract_z
Ca1 Ca 0.000 0.000 0.000
Y1 Y 0.500 0.500 0.321
Pd1 Pd 0.000 0.000 0.500
```

*D*
The following is a DFT calculation (PBE) of a relaxed structure of CaY2Pd.

Results
size of the total moment = 0.3 Bohr magnetons per cell

Structure (CIF):
```
data_CaY2Pd
_symmetry_space_group_name_H-M 'I -4 2 d'
_symmetry_Int_Tables_number 122
_symmetry_space_group_name_Hall 'I -4 2bw'
_cell_length_a 8.679
_cell_length_b 8.679
_cell_length_c 6.479
_cell_angle_alpha 90.00
_cell_angle_beta 90.00
_cell_angle_gamma 90.00
loop_
_atom_site_label
_atom_site_type_symbol
_atom_site_fract_x
_atom_site_fract_y
_atom_site_fract_z
Ca1 Ca 0.000 0.000 0.000
Y1 Y 0.176 0.250 0.625
Pd1 Pd 0.000 0.000 0.500
```

Stability, descending: *C*, *B*, *D*, *A*

*A*
The following is a DFT calculation (PBE) of a relaxed structure of CaY2Pd2.

Results
size of the total moment = 0.0 Bohr magnetons per cell

Structure (CIF):
```
data_CaY2Pd2
_symmetry_space_group_name_H-M 'I 4/m m m'
_symmetry_Int_Tables_number 139
_symmetry_space_group_name_Hall '-I 4 2'
_cell_length_a 4.239
_cell_length_b 4.239
_cell_length_c 15.313
_cell_angle_alpha 90.00
_cell_angle_beta 90.00
_cell_angle_gamma 90.00
loop_
_atom_site_label
_atom_site_type_symbol
_atom_site_fract_x
_atom_site_fract_y
_atom_site_fract_z
Ca1 Ca 0.000 0.000 0.000
Y1 Y 0.000 0.000 0.371
Pd1 Pd 0.000 0.500 0.250
```

*B*
The following is a DFT calculation (PBE) of a relaxed structure of CaY2Pd2.

Results
size of the total moment = 0.0 Bohr magnetons per cell

Structure (CIF):
```
data_CaY2Pd2
_symmetry_space_group_name_H-M 'P 4/m b m'
_symmetry_Int_Tables_number 127
_symmetry_space_group_name_Hall '-P 4 2ab'
_cell_length_a 7.979
_cell_length_b 7.979
_cell_length_c 3.871
_cell_angle_alpha 90.00
_cell_angle_beta 90.00
_cell_angle_gamma 90.00
loop_
_atom_site_label
_atom_site_type_symbol
_atom_site_fract_x
_atom_site_fract_y
_atom_site_fract_z
Ca1 Ca 0.000 0.000 0.000
Y1 Y 0.159 0.341 0.500
Pd1 Pd 0.133 0.633 0.000
```

*C*
The following is a DFT calculation (PBE) of a relaxed structure of CaY2Pd2.

Results
size of the total moment = 0.0 Bohr magnetons per cell

Structure (CIF):
```
data_CaY2Pd2
_symmetry_space_group_name_H-M 'P 4/m b m'
_symmetry_Int_Tables_number 127
_symmetry_space_group_name_Hall '-P 4 2ab'
_cell_length_a 8.506
_cell_length_b 8.506
_cell_length_c 3.321
_cell_angle_alpha 90.00
_cell_angle_beta 90.00
_cell_angle_gamma 90.00
loop_
_atom_site_label
_atom_site_type_symbol
_atom_site_fract_x
_atom_site_fract_y
_atom_site_fract_z
Ca1 Ca 0.000 0.000 0.000
Y1 Y 0.139 0.361 0.000
Pd1 Pd 0.156 0.656 0.500
```

Stability, descending: *B*, *C*, *A*

*A*
The following is a DFT calculation (PBE) of a relaxed structure of CaY2Pd2.

Results
size of the total moment = 0.0 Bohr magnetons per cell

Structure (CIF):
```
data_CaY2Pd2
_symmetry_space_group_name_H-M 'I 4/m m m'
_symmetry_Int_Tables_number 139
_symmetry_space_group_name_Hall '-I 4 2'
_cell_length_a 4.707
_cell_length_b 4.707
_cell_length_c 12.092
_cell_angle_alpha 90.00
_cell_angle_beta 90.00
_cell_angle_gamma 90.00
loop_
_atom_site_label
_atom_site_type_symbol
_atom_site_fract_x
_atom_site_fract_y
_atom_site_fract_z
Ca1 Ca 0.000 0.000 0.000
Y1 Y 0.000 0.500 0.250
Pd1 Pd 0.000 0.000 0.389
```

*B*
The following is a DFT calculation (PBE) of a relaxed structure of CaY2Pd2.

Results
size of the total moment = 0.0 Bohr magnetons per cell

Structure (CIF):
```
data_CaY2Pd2
_symmetry_space_group_name_H-M 'P -1'
_symmetry_Int_Tables_number 2
_cell_length_a 5.375
_cell_length_b 7.405
_cell_length_c 8.226
_cell_angle_alpha 83.14
_cell_angle_beta 70.94
_cell_angle_gamma 68.83
loop_
_symmetry_equiv_pos_as_xyz
'x,y,z'
'-x,-y,-z'
loop_
_atom_site_label
_atom_site_type_symbol
_atom_site_fract_x
_atom_site_fract_y
_atom_site_fract_z
Ca1 Ca 0.125 0.250 0.250
Y1 Y 0.211 0.750 0.078
Y2 Y 0.461 0.250 0.577
Pd1 Pd 0.273 0.954 0.750
Pd2 Pd 0.476 0.546 0.751
```

Stability, descending: *A*, *B*

*A*
The following is a DFT calculation (PBE) of a relaxed structure of Ca3YPd.

Results
size of the total moment = 4.2 Bohr magnetons per cell

Structure (CIF):
```
data_Ca3YPd
_symmetry_space_group_name_H-M 'P m -3 m'
_symmetry_Int_Tables_number 221
_symmetry_space_group_name_Hall '-P 4 2 3'
_cell_length_a 5.983
_cell_length_b 5.983
_cell_length_c 5.983
_cell_angle_alpha 90.00
_cell_angle_beta 90.00
_cell_angle_gamma 90.00
loop_
_atom_site_label
_atom_site_type_symbol
_atom_site_fract_x
_atom_site_fract_y
_atom_site_fract_z
Ca1 Ca 0.000 0.000 0.500
Y1 Y 0.000 0.000 0.000
Pd1 Pd 0.500 0.500 0.500
```

*B*
The following is a DFT calculation (PBE) of a relaxed structure of Ca3YPd.

Results
size of the total moment = 0.0 Bohr magnetons per cell

Structure (CIF):
```
data_Ca3YPd
_symmetry_space_group_name_H-M 'P m -3 m'
_symmetry_Int_Tables_number 221
_symmetry_space_group_name_Hall '-P 4 2 3'
_cell_length_a 5.594
_cell_length_b 5.594
_cell_length_c 5.594
_cell_angle_alpha 90.00
_cell_angle_beta 90.00
_cell_angle_gamma 90.00
loop_
_atom_site_label
_atom_site_type_symbol
_atom_site_fract_x
_atom_site_fract_y
_atom_site_fract_z
Ca1 Ca 0.000 0.000 0.500
Y1 Y 0.500 0.500 0.500
Pd1 Pd 0.000 0.000 0.000
```

Stability, descending: *B*, *A*

*A*
The following is a DFT calculation (PBE) of a relaxed structure of Ca2ZnPd3.

Results
size of the total moment = 0.0 Bohr magnetons per cell

Structure (CIF):
```
data_Ca2ZnPd3
_symmetry_space_group_name_H-M 'I m m m'
_symmetry_Int_Tables_number 71
_symmetry_space_group_name_Hall '-I 2 2'
_cell_length_a 4.639
_cell_length_b 5.488
_cell_length_c 9.918
_cell_angle_alpha 90.00
_cell_angle_beta 90.00
_cell_angle_gamma 90.00
loop_
_atom_site_label
_atom_site_type_symbol
_atom_site_fract_x
_atom_site_fract_y
_atom_site_fract_z
Ca1 Ca 0.000 0.000 0.184
Zn1 Zn 0.000 0.000 0.500
Pd1 Pd 0.000 0.500 0.133
Pd2 Pd 0.000 0.500 0.500
```

*B*
The following is a DFT calculation (PBE) of a relaxed structure of Ca2ZnPd3.

Results
size of the total moment = 0.0 Bohr magnetons per cell

Structure (CIF):
```
data_Ca2ZnPd3
_symmetry_space_group_name_H-M 'R -3 m'
_symmetry_Int_Tables_number 166
_symmetry_space_group_name_Hall '-R 3 2"'
_cell_length_a 5.6462
_cell_length_b 5.6462
_cell_length_c 12.4935
_cell_angle_alpha 90.00
_cell_angle_beta 90.00
_cell_angle_gamma 120.00
loop_
_atom_site_label
_atom_site_type_symbol
_atom_site_fract_x
_atom_site_fract_y
_atom_site_fract_z
Ca1 Ca 0.0000 0.0000 0.1272
Zn1 Zn 0.0000 0.0000 0.5000
Pd1 Pd 0.0000 0.5000 0.0000
```

Stability, descending: *B*, *A*